Compound: Pr6Ir2PdCl3
Source: Alexandria
Functional: PBE
Structure: relaxed

Cell lengths 7.2487, 7.2487, 7.9641 Å; angles 98.70, 98.70, 120.03 degrees
Positions (direct):
Ir1 0.3335 0.6665 0.0000
Cl1 0.8290 0.1710 0.5000
Pr1 0.7245 0.7245 0.2059
Ir2 0.6665 0.3335 0.0000
Cl2 0.1710 0.8290 0.5000
Pd1 0.0000 0.0000 0.0000
Pr2 0.0685 0.4121 0.2059
Pr3 0.2755 0.2755 0.7941
Pr4 0.9315 0.5879 0.7941
Pr5 0.5879 0.9315 0.7941
Cl3 0.5000 0.5000 0.5000
Pr6 0.4121 0.0685 0.2059

Computed properties:
energy relative to the elements, uncorrected = -1172 meV/atom
total energy = -5.93 eV/atom
total magnetic moment = 0.0 μB per formula unit
space-group type = C2/m